{"formula": "HoCoCu", "functional": "PBE", "state": "optimized geometry", "sg": "P-6m2 (187)", "e_form_ev_per_atom": -0.126, "total_energy_ev_per_fu": -16.159, "cell": [[-0.691, -3.331, -1.244], [0.629, -1.526, 3.738], [-3.745, 1.193, -1.116]], "species": ["Cu", "Co", "Ho"], "frac_coords": [[0.167, 0.000, 0.000], [0.167, 0.333, 0.667], [0.667, 0.667, 0.333]]}

{"formula": "Ho4Co2Cu", "functional": "PBE", "state": "optimized geometry", "sg": "P1 (1)", "polymorph_energy_ev_per_fu": 0.09, "e_form_ev_per_atom": -0.170, "total_energy_ev_per_fu": -37.809, "cell": [[-5.065, 4.364, 3.061], [-2.764, -8.099, 1.151], [5.717, 2.743, 2.809]], "species": ["Ho", "Ho", "Ho", "Ho", "Ho", "Ho", "Ho", "Ho", "Co", "Co", "Co", "Co", "Cu", "Cu"], "frac_coords": [[0.365, 0.963, 0.177], [0.862, 0.614, 0.192], [0.364, 0.451, 0.665], [0.889, 0.127, 0.678], [0.416, 0.110, 0.786], [0.841, 0.737, 0.792], [0.383, 0.601, 0.261], [0.847, 0.238, 0.286], [0.071, 0.532, 0.851], [0.653, 0.822, 0.156], [0.554, 0.370, 0.298], [0.674, 0.327, 0.662], [0.163, 0.173, 0.079], [0.168, 0.684, 0.617]]}

{"formula": "Ho8CoCu2", "functional": "PBE", "state": "optimized geometry", "sg": "C2/m (12)", "polymorph_energy_ev_per_fu": 0.00, "e_form_ev_per_atom": -0.114, "total_energy_ev_per_fu": -53.176, "cell": [[5.062, 0.000, 0.000], [0.000, 6.589, 0.184], [-2.531, -2.607, 8.095]], "species": ["Ho", "Ho", "Ho", "Ho", "Ho", "Ho", "Ho", "Ho", "Cu", "Cu", "Co"], "frac_coords": [[0.799, 0.678, 0.599], [0.201, 0.322, 0.401], [0.589, 0.436, 0.179], [0.032, 0.792, 0.064], [0.336, 0.025, 0.673], [0.968, 0.208, 0.936], [0.664, 0.975, 0.327], [0.411, 0.564, 0.821], [0.814, 0.275, 0.628], [0.186, 0.725, 0.372], [0.500, 0.000, 0.000]]}

{"formula": "Ho6Co2Cu", "functional": "PBE", "state": "optimized geometry", "sg": "Immm (71)", "e_form_ev_per_atom": -0.183, "total_energy_ev_per_fu": -47.419, "cell": [[2.061, -3.507, -7.088], [-1.731, -5.594, 5.701], [-6.699, 4.573, -1.003]], "species": ["Ho", "Ho", "Ho", "Ho", "Ho", "Ho", "Ho", "Ho", "Ho", "Ho", "Ho", "Ho", "Co", "Co", "Co", "Co", "Cu", "Cu"], "frac_coords": [[0.903, 0.725, 0.178], [0.191, 0.240, 0.431], [0.314, 0.639, 0.326], [0.686, 0.012, 0.326], [0.809, 0.240, 0.049], [0.809, 0.760, 0.569], [0.097, 0.275, 0.822], [0.314, 0.988, 0.674], [0.547, 0.725, 0.822], [0.191, 0.760, 0.951], [0.453, 0.275, 0.178], [0.686, 0.361, 0.674], [0.666, 0.000, 0.666], [0.334, 0.000, 0.334], [0.500, 0.385, 0.885], [0.500, 0.615, 0.115], [0.000, 0.500, 0.500], [0.000, 0.000, 0.000]]}

{"formula": "Ho7Co2Cu2", "functional": "PBE", "state": "optimized geometry", "sg": "Cmmm (65)", "e_form_ev_per_atom": -0.049, "total_energy_ev_per_fu": -54.987, "cell": [[6.432, -0.003, -1.026], [0.003, 6.811, 0.003], [-1.424, -0.002, 6.356]], "species": ["Ho", "Ho", "Ho", "Ho", "Ho", "Ho", "Ho", "Co", "Co", "Cu", "Cu"], "frac_coords": [[0.500, 0.744, 0.000], [0.500, 0.256, 0.000], [0.500, 0.249, 0.500], [0.000, 0.744, 0.500], [0.000, 0.256, 0.500], [0.000, 0.000, 0.000], [0.500, 0.751, 0.500], [0.299, 0.000, 0.701], [0.701, 0.000, 0.299], [0.831, 0.500, 0.831], [0.169, 0.500, 0.169]]}

{"formula": "Ho6CoCu5", "functional": "PBE", "state": "optimized geometry", "sg": "Immm (71)", "e_form_ev_per_atom": -0.252, "total_energy_ev_per_fu": -58.078, "cell": [[-2.388, 2.507, 3.389], [-3.143, -5.768, 2.052], [8.135, 0.380, 1.987]], "species": ["Cu", "Cu", "Cu", "Cu", "Cu", "Ho", "Ho", "Ho", "Ho", "Ho", "Ho", "Co"], "frac_coords": [[0.331, 0.831, 0.662], [0.000, 0.500, 0.000], [0.669, 0.169, 0.338], [0.666, 0.666, 0.332], [0.334, 0.334, 0.668], [0.500, 0.758, 0.000], [0.163, 0.917, 0.325], [0.837, 0.592, 0.675], [0.837, 0.083, 0.675], [0.163, 0.408, 0.325], [0.500, 0.242, 0.000], [0.000, 0.000, 0.000]]}

{"formula": "HoCo4Cu", "functional": "PBE", "state": "optimized geometry", "sg": "F-43m (216)", "polymorph_energy_ev_per_fu": 0.31, "e_form_ev_per_atom": -0.065, "total_energy_ev_per_fu": -37.487, "cell": [[-1.535, 4.609, -0.451], [-4.463, 0.926, -1.739], [-3.467, 1.718, 2.971]], "species": ["Cu", "Co", "Co", "Co", "Co", "Ho"], "frac_coords": [[0.000, 0.000, 0.000], [0.122, 0.626, 0.626], [0.626, 0.626, 0.122], [0.626, 0.122, 0.626], [0.626, 0.626, 0.626], [0.250, 0.250, 0.250]]}

{"formula": "HoCoCu", "functional": "PBE", "state": "optimized geometry", "sg": "C2/m (12)", "e_form_ev_per_atom": 0.039, "total_energy_ev_per_fu": -15.664, "cell": [[-5.227, 0.887, 0.843], [1.757, -3.949, -3.185], [3.402, -2.129, 3.486]], "species": ["Co", "Co", "Ho", "Ho", "Cu", "Cu"], "frac_coords": [[0.250, 0.988, 0.239], [0.750, 0.012, 0.761], [0.749, 0.370, 0.120], [0.251, 0.630, 0.880], [0.000, 0.000, 0.500], [0.500, 0.500, 0.500]]}

{"formula": "Ho8CoCu2", "functional": "PBE", "state": "optimized geometry", "sg": "Cm (8)", "polymorph_energy_ev_per_fu": 0.37, "e_form_ev_per_atom": -0.080, "total_energy_ev_per_fu": -52.801, "cell": [[-2.008, 0.270, -5.285], [7.451, 5.124, -0.746], [-1.714, -8.675, 2.030]], "species": ["Ho", "Ho", "Ho", "Ho", "Ho", "Ho", "Ho", "Ho", "Cu", "Cu", "Co"], "frac_coords": [[0.017, 0.247, 0.247], [0.341, 0.826, 0.597], [0.569, 0.410, 0.180], [0.955, 0.210, 0.797], [0.955, 0.797, 0.210], [0.569, 0.180, 0.410], [0.341, 0.597, 0.826], [0.893, 0.759, 0.759], [0.453, 0.749, 0.255], [0.453, 0.255, 0.749], [0.455, 0.003, 0.003]]}

{"formula": "Ho4Co2Cu", "functional": "PBE", "state": "optimized geometry", "sg": "Cm (8)", "polymorph_energy_ev_per_fu": 0.00, "e_form_ev_per_atom": -0.183, "total_energy_ev_per_fu": -37.901, "cell": [[1.441, -5.924, -3.148], [-1.780, -5.014, 4.334], [-6.296, 2.404, -3.003]], "species": ["Cu", "Cu", "Co", "Co", "Co", "Co", "Ho", "Ho", "Ho", "Ho", "Ho", "Ho", "Ho", "Ho"], "frac_coords": [[0.831, 0.831, 0.695], [0.834, 0.834, 0.192], [0.434, 0.929, 0.619], [0.334, 0.334, 0.700], [0.337, 0.337, 0.191], [0.929, 0.434, 0.619], [0.614, 0.615, 0.826], [0.118, 0.118, 0.826], [0.153, 0.623, 0.972], [0.165, 0.636, 0.475], [0.636, 0.165, 0.475], [0.617, 0.617, 0.342], [0.623, 0.154, 0.972], [0.125, 0.125, 0.348]]}

{"formula": "HoCoCu", "functional": "PBE", "state": "optimized geometry", "sg": "Imma (74)", "e_form_ev_per_atom": -0.190, "total_energy_ev_per_fu": -16.351, "cell": [[-4.404, 0.245, -2.696], [-0.862, -3.285, -3.848], [-3.465, -3.769, 0.361]], "species": ["Co", "Co", "Ho", "Ho", "Cu", "Cu"], "frac_coords": [[0.500, 0.000, 0.000], [0.000, 0.000, 0.000], [0.124, 0.626, 0.626], [0.876, 0.374, 0.374], [0.500, 0.000, 0.500], [0.500, 0.500, 0.000]]}

{"formula": "Ho4CoCu2", "functional": "PBE", "state": "optimized geometry", "sg": "Cmmm (65)", "e_form_ev_per_atom": -0.144, "total_energy_ev_per_fu": -34.617, "cell": [[-0.835, 2.076, -4.186], [1.743, -4.891, -2.773], [-5.793, -0.332, 0.991]], "species": ["Co", "Cu", "Cu", "Ho", "Ho", "Ho", "Ho"], "frac_coords": [[0.500, 0.500, 0.500], [0.000, 0.253, 0.747], [0.000, 0.747, 0.253], [0.500, 0.500, 0.000], [0.000, 0.255, 0.255], [0.000, 0.745, 0.745], [0.500, 0.000, 0.500]]}

Copy entry 3 word for word.
{"formula": "Ho8CoCu2", "functional": "PBE", "state": "optimized geometry", "sg": "C2/m (12)", "polymorph_energy_ev_per_fu": 0.00, "e_form_ev_per_atom": -0.114, "total_energy_ev_per_fu": -53.176, "cell": [[5.062, 0.000, 0.000], [0.000, 6.589, 0.184], [-2.531, -2.607, 8.095]], "species": ["Ho", "Ho", "Ho", "Ho", "Ho", "Ho", "Ho", "Ho", "Cu", "Cu", "Co"], "frac_coords": [[0.799, 0.678, 0.599], [0.201, 0.322, 0.401], [0.589, 0.436, 0.179], [0.032, 0.792, 0.064], [0.336, 0.025, 0.673], [0.968, 0.208, 0.936], [0.664, 0.975, 0.327], [0.411, 0.564, 0.821], [0.814, 0.275, 0.628], [0.186, 0.725, 0.372], [0.500, 0.000, 0.000]]}